VASP calculation (PBE) on a relaxed structure of PaHPd3.

Computed properties:
Its volume is 77 Å³/cell. As for the final energy: -29.9 eV for the cell shown.

Cell lengths 4.247, 4.247, 4.247 Å; angles 90.00, 90.00, 90.00 degrees
Space group Pm-3m (No. 221)
Asymmetric unit:
Pa (0.000, 0.000, 0.000) x1
H (0.500, 0.500, 0.500) x1
Pd (0.000, 0.500, 0.500) x3